Compound: Na3ReAs
Source: the Alexandria database
Functional: PBE-GGA
Structure: relaxed

Lattice parameters (Å, degrees): 5.5171 5.5171 5.5171 90.00 90.00 90.00
Element x y z (fractional)
Re 0.5000 0.5000 0.5000
As 0.0000 0.0000 0.0000
Na 0.0000 0.5000 0.0000
Na 0.0000 0.0000 0.5000
Na 0.5000 0.0000 0.0000

## Properties
Final energy (eV per atom): -3.0868
ΔH_f (0 K) (kJ per mole of atoms): 108.5
Polymorph energy (0 for the lowest one) (meV per atom): 0
M_tot (μB/f.u.): 5.00